1.
SmErPdAu | PBE | relaxed

Cell lengths 3.7755, 4.7115, 5.6609 Å; angles 90.00, 109.48, 90.00 degrees
Last column: nearest neighbours and their distance in Å.
Sites, in units of the cell vectors:
1 Sm 0.1400 0.0000 0.2799  3 Pd 2.91-3.08, 4 Au 3.08
2 Er 0.8636 0.5000 0.7273  3 Au 2.99-3.01, 4 Pd 3.06
3 Pd 0.4125 0.0000 0.8251  3 Sm 2.91-3.08, 2 Au 2.98, 4 Er 3.06
4 Au 0.5838 0.5000 0.1677  2 Pd 2.98, 3 Er 2.99-3.01, 4 Sm 3.08

Properties
VASP energy = -5.317 eV per atom
Space-group type = Amm2, No. 38
DOS(E_F) = 2.091 states/eV/f.u.
E_form = -20.26 kcal/mol of atoms
Offset from the most stable computed form = 0 meV/atom
Calculated volume = 95 Å³/f.u.

---

2.
ErSnPdAu | PBE | relaxed

Cell lengths 4.8584, 4.8584, 4.8584 Å; angles 60.00, 60.00, 60.00 degrees
Last column: nearest neighbours and their distance in Å.
Sites, in units of the cell vectors:
1 Au 0.5000 0.5000 0.5000  4 Er 2.98, 4 Sn 2.98
2 Sn 0.2500 0.2500 0.2500  4 Au 2.98, 4 Pd 2.98
3 Pd 0.0000 0.0000 0.0000  4 Sn 2.98, 4 Er 2.98
4 Er 0.7500 0.7500 0.7500  4 Au 2.98, 4 Pd 2.98

Properties
VASP energy = -5.020 eV per atom
Space-group type = F-43m, No. 216
DOS(E_F) = 2.662 states/eV/f.u.
E_form = -17.54 kcal/mol of atoms
Calculated volume = 81 Å³/f.u.

---

3.
ErSn2Pd7Au2 | PBE | relaxed

Cell lengths 4.1227, 4.1227, 14.0144 Å; angles 72.41, 72.41, 88.71 degrees
Last column: nearest neighbours and their distance in Å.
Sites, in units of the cell vectors:
1 Er 0.0000 0.0000 0.0000  12 Pd 2.88-2.95
2 Sn 0.6806 0.6806 0.3201  6 Pd 2.71-2.89, 4 Au 2.88-2.95
3 Sn 0.3194 0.3194 0.6799  6 Pd 2.71-2.89, 4 Au 2.88-2.95
4 Pd 0.5000 0.5000 0.0000  4 Er 2.88-2.95, 8 Pd 2.91
5 Pd 0.2528 0.2528 0.4998  2 Sn 2.71, 2 Au 2.76, 4 Pd 2.88-2.98
6 Pd 0.7472 0.7472 0.5002  2 Sn 2.71, 2 Au 2.76, 4 Pd 2.88-2.98
7 Pd 0.8382 0.3383 0.1613  2 Au 2.85-2.86, 2 Sn 2.88-2.89, 6 Pd 2.88-2.95, 2 Er 2.91
8 Pd 0.3383 0.8382 0.1613  2 Au 2.85-2.86, 2 Sn 2.88-2.89, 6 Pd 2.88-2.95, 2 Er 2.91
9 Pd 0.6617 0.1618 0.8387  2 Au 2.85-2.86, 2 Sn 2.88-2.89, 6 Pd 2.88-2.95, 2 Er 2.91
10 Pd 0.1618 0.6617 0.8387  2 Au 2.85-2.86, 2 Sn 2.88-2.89, 6 Pd 2.88-2.95, 2 Er 2.91
11 Au 0.8170 0.8170 0.6831  6 Pd 2.76-2.86, 4 Sn 2.88-2.95
12 Au 0.1830 0.1830 0.3169  6 Pd 2.76-2.86, 4 Sn 2.88-2.95

Properties
VASP energy = -5.096 eV per atom
Space-group type = C2/m, No. 12
DOS(E_F) = 6.071 states/eV/f.u.
E_form = -10.92 kcal/mol of atoms
Calculated volume = 216 Å³/f.u.

---

4.
Sr2ErPdAu6 | PBE | relaxed

Cell lengths 7.4752, 7.4752, 7.4752 Å; angles 60.00, 60.00, 90.00 degrees
Last column: nearest neighbours and their distance in Å.
Sites, in units of the cell vectors:
1 Sr 0.2500 0.7500 0.5000  12 Au 3.74
2 Sr 0.7500 0.2500 0.5000  12 Au 3.74
3 Er 0.5000 0.5000 0.0000  6 Au 2.70
4 Pd 0.0000 0.0000 0.0000  6 Au 2.58
5 Au 0.2443 0.7557 0.0000  1 Pd 2.58, 1 Er 2.70
6 Au 0.7557 0.7557 0.0000  1 Pd 2.58, 1 Er 2.70
7 Au 0.2443 0.2443 0.5114  1 Pd 2.58, 1 Er 2.70
8 Au 0.7557 0.2443 0.0000  1 Pd 2.58, 1 Er 2.70
9 Au 0.2443 0.2443 0.0000  1 Pd 2.58, 1 Er 2.70
10 Au 0.7557 0.7557 0.4886  1 Pd 2.58, 1 Er 2.70

Properties
VASP energy = -3.548 eV per atom
Space-group type = Fm-3m, No. 225
DOS(E_F) = 3.327 states/eV/f.u.
E_form = -6.22 kcal/mol of atoms
Calculated volume = 295 Å³/f.u.

---

5.
ErTlPdAu | PBE | relaxed

Cell lengths 4.9003, 4.9003, 4.9003 Å; angles 60.00, 60.00, 60.00 degrees
Last column: nearest neighbours and their distance in Å.
Sites, in units of the cell vectors:
1 Tl 0.2500 0.2500 0.2500  4 Pd 3.00, 4 Au 3.00
2 Au 0.0000 0.0000 0.0000  4 Tl 3.00, 4 Er 3.00
3 Pd 0.5000 0.5000 0.5000  4 Er 3.00, 4 Tl 3.00
4 Er 0.7500 0.7500 0.7500  4 Au 3.00, 4 Pd 3.00

Properties
VASP energy = -4.433 eV per atom
Space-group type = F-43m, No. 216
DOS(E_F) = 2.194 states/eV/f.u.
E_form = -13.44 kcal/mol of atoms
Calculated volume = 83 Å³/f.u.

---

6.
ErZnPdAu | PBE | relaxed

Cell lengths 4.5002, 5.0615, 4.5277 Å; angles 116.54, 119.80, 90.00 degrees
Last column: nearest neighbours and their distance in Å.
Sites, in units of the cell vectors:
1 Er 0.5024 0.5069 0.0049  4 Pd 2.90-2.98, 4 Au 2.94-2.96
2 Zn 0.9907 0.9718 0.9814  3 Pd 2.67-2.68, 3 Au 2.76-2.78
3 Pd 0.2795 0.8378 0.5589  3 Zn 2.67-2.68, 4 Er 2.90-2.98
4 Au 0.7274 0.1836 0.4547  3 Zn 2.76-2.78, 4 Er 2.94-2.96, 3 Pd 3.01-3.02

Properties
VASP energy = -4.279 eV per atom
Space-group type = Cm, No. 8
DOS(E_F) = 1.727 states/eV/f.u.
E_form = -16.20 kcal/mol of atoms
Calculated volume = 77 Å³/f.u.

---

7.
Pm3Er3Au4 | PBE | relaxed

Cell lengths 3.8544, 8.2347, 8.2347 Å; angles 88.76, 90.00, 90.00 degrees
Last column: nearest neighbours and their distance in Å.
Sites, in units of the cell vectors:
1 Pm 0.5000 0.8390 0.1610  6 Au 3.08-3.13
2 Pm 0.5000 0.3301 0.3387  6 Au 3.09-3.15
3 Pm 0.5000 0.6613 0.6699  6 Au 3.09-3.15
4 Er 0.0000 0.4977 0.0038  4 Au 3.10-3.32
5 Er 0.0000 0.9962 0.5023  4 Au 3.10-3.32
6 Er 0.5000 0.1678 0.8322  6 Au 2.95-3.07
7 Au 0.0000 0.6306 0.3694  6 Pm 3.08-3.15, 1 Au 3.09, 2 Er 3.23
8 Au 0.0000 0.3621 0.6379  4 Er 2.95-3.24, 1 Au 3.09, 4 Pm 3.14
9 Au 0.0000 0.8779 0.8626  1 Au 3.05, 4 Er 3.07-3.32, 4 Pm 3.09-3.13
10 Au 0.0000 0.1374 0.1221  1 Au 3.05, 4 Er 3.07-3.32, 4 Pm 3.09-3.13

Properties
VASP energy = -4.781 eV per atom
Space-group type = Amm2, No. 38
DOS(E_F) = 10.952 states/eV/f.u.
E_form = -15.60 kcal/mol of atoms
Calculated volume = 261 Å³/f.u.

---

8.
Pm2ErAu | PBE | relaxed

Cell lengths 6.7333, 7.0822, 9.9953 Å; angles 90.00, 90.00, 90.00 degrees
Last column: nearest neighbours and their distance in Å.
Sites, in units of the cell vectors:
1 Pm 0.1894 0.6985 0.0549  2 Au 3.02-3.06
2 Pm 0.3106 0.1985 0.4451  2 Au 3.02-3.06
3 Pm 0.8106 0.3015 0.5549  2 Au 3.02-3.06
4 Pm 0.6894 0.8015 0.9451  2 Au 3.02-3.06
5 Pm 0.8106 0.3015 0.9451  2 Au 3.02-3.06
6 Pm 0.6894 0.8015 0.5549  2 Au 3.02-3.06
7 Pm 0.1894 0.6985 0.4451  2 Au 3.02-3.06
8 Pm 0.3106 0.1985 0.0549  2 Au 3.02-3.06
9 Er 0.6257 0.5204 0.2500  2 Au 2.88-2.95
10 Er 0.8743 0.0204 0.2500  2 Au 2.88-2.95
11 Er 0.3743 0.4796 0.7500  2 Au 2.88-2.95
12 Er 0.1257 0.9796 0.7500  2 Au 2.88-2.95
13 Au 0.0369 0.4070 0.2500  2 Er 2.88-2.95, 4 Pm 3.02-3.06
14 Au 0.4631 0.9070 0.2500  2 Er 2.88-2.95, 4 Pm 3.02-3.06
15 Au 0.9631 0.5930 0.7500  2 Er 2.88-2.95, 4 Pm 3.02-3.06
16 Au 0.5369 0.0930 0.7500  2 Er 2.88-2.95, 4 Pm 3.02-3.06

Properties
VASP energy = -4.746 eV per atom
Space-group type = Pnma, No. 62
DOS(E_F) = 3.375 states/eV/f.u.
E_form = -9.46 kcal/mol of atoms
Offset from the most stable computed form = 0 meV/atom
Calculated volume = 119 Å³/f.u.

---

Copy entry 6 word for word.
ErZnPdAu | PBE | relaxed

Cell lengths 4.5002, 5.0615, 4.5277 Å; angles 116.54, 119.80, 90.00 degrees
Last column: nearest neighbours and their distance in Å.
Sites, in units of the cell vectors:
1 Er 0.5024 0.5069 0.0049  4 Pd 2.90-2.98, 4 Au 2.94-2.96
2 Zn 0.9907 0.9718 0.9814  3 Pd 2.67-2.68, 3 Au 2.76-2.78
3 Pd 0.2795 0.8378 0.5589  3 Zn 2.67-2.68, 4 Er 2.90-2.98
4 Au 0.7274 0.1836 0.4547  3 Zn 2.76-2.78, 4 Er 2.94-2.96, 3 Pd 3.01-3.02

Properties
VASP energy = -4.279 eV per atom
Space-group type = Cm, No. 8
DOS(E_F) = 1.727 states/eV/f.u.
E_form = -16.20 kcal/mol of atoms
Calculated volume = 77 Å³/f.u.

---

Which of these has the highest DOS(E_F)? Pm3Er3Au4

---

Copy entry 6 word for word.
ErZnPdAu | PBE | relaxed

Cell lengths 4.5002, 5.0615, 4.5277 Å; angles 116.54, 119.80, 90.00 degrees
Last column: nearest neighbours and their distance in Å.
Sites, in units of the cell vectors:
1 Er 0.5024 0.5069 0.0049  4 Pd 2.90-2.98, 4 Au 2.94-2.96
2 Zn 0.9907 0.9718 0.9814  3 Pd 2.67-2.68, 3 Au 2.76-2.78
3 Pd 0.2795 0.8378 0.5589  3 Zn 2.67-2.68, 4 Er 2.90-2.98
4 Au 0.7274 0.1836 0.4547  3 Zn 2.76-2.78, 4 Er 2.94-2.96, 3 Pd 3.01-3.02

Properties
VASP energy = -4.279 eV per atom
Space-group type = Cm, No. 8
DOS(E_F) = 1.727 states/eV/f.u.
E_form = -16.20 kcal/mol of atoms
Calculated volume = 77 Å³/f.u.